Entry 1:
# RbFeAgI4

A relaxed RbFeAgI4 crystal (GGA-PBE, Alexandria via LeMat-Bulk).

Unit cell a=6.8313 b=8.3493 c=10.2117 alpha=90.00 beta=105.73 gamma=90.00
With the nearest neighbours (Å) after each atom.
Space group P2_1/m (No. 11)
Symmetry-distinct sites (fractional):
Rb  0.2418  0.2500  0.4143 [2 per cell]  9 I 3.81-4.24
Fe  0.3158  0.7500  0.1926 [2 per cell]  4 I 2.60-2.64
Ag  0.3723  0.2500  0.9877 [2 per cell]  5 I 2.84-3.12, 1 Fe 3.17
I  0.0215  0.7500  0.9689 [2 per cell]  1 Fe 2.60, 1 Ag 2.84
I  0.1854  0.7500  0.4116 [2 per cell]  1 Fe 2.62
I  0.4369  0.0027  0.7898 [4 per cell]  1 Fe 2.64

Output
Size of the total moment: 0.571 μB/atom
Volume: 40.05 Å³/atom
Final energy: -22.1 eV per formula unit
Formation energy from raw total energies: -0.51 eV per atom

=====

Entry 2:
# RbFeAgI5

A relaxed RbFeAgI5 crystal (GGA-PBE, Alexandria via LeMat-Bulk).

Unit cell a=10.6864 b=14.0292 c=9.9365 alpha=90.00 beta=109.44 gamma=90.00
With the nearest neighbours (Å) after each atom.
Space group C2/c (No. 15)
Symmetry-distinct sites (fractional):
Rb  0.0000  0.1544  0.2500 [4 per cell]  7 I 3.72-3.97
Fe  0.0000  0.1749  0.7500 [4 per cell]  4 I 2.56
Ag  0.0000  0.5000  0.0000 [4 per cell]  2 I 2.73
I  0.0000  0.4197  0.2500 [4 per cell]  2 Ag 2.73
I  0.1226  0.2830  0.6272 [8 per cell]  1 Fe 2.56
I  0.1660  0.0717  0.9400 [8 per cell]  1 Fe 2.56

Output
Size of the total moment: 0.624 μB/atom
Volume: 43.90 Å³/atom
Final energy: -24.2 eV per formula unit
Formation energy from raw total energies: -0.52 eV per atom